Computed, not measured: crystalline ErNbOs at its relaxed geometry at the PBE level of DFT.

Geometry as CIF:
```
data_ErNbOs
_cell_length_a 3.272
_cell_length_b 3.272
_cell_length_c 10.866
_cell_angle_alpha 90.00
_cell_angle_beta 90.00
_cell_angle_gamma 90.00
_symmetry_space_group_name_H-M 'I 4 m m'
_symmetry_Int_Tables_number 107
_symmetry_space_group_name_Hall 'I 4 -2'
loop_
_atom_site_label
_atom_site_type_symbol
_atom_site_fract_x
_atom_site_fract_y
_atom_site_fract_z
Er1 Er 0.000 0.000 0.000
Nb1 Nb 0.000 0.000 0.695
Os1 Os 0.000 0.000 0.324
```

D(E_F) = 0.864 states/eV per atom
Calculated formation energy = -0.10 eV/atom
Distance to the lowest polymorph of the same formula = 138 meV/atom
Total magnetic moment = 0.00 μB per formula unit